1.
CsSrNi2 (PBE, optimized geometry); total magnetization = 0.962 μB/cell; VASP energy = -42.62 eV per cell; SG = I-42d; density of states at the Fermi level = 2.10 states/eV/atom
1.0
8.310 0.000 0.000
0.000 8.310 0.000
0.000 0.000 6.405
Cs Sr Ni
4 4 8
Direct
0.000 0.000 0.000
0.000 0.500 0.250
0.500 0.000 0.750
0.500 0.500 0.500
0.000 0.000 0.500
0.000 0.500 0.750
0.500 0.000 0.250
0.500 0.500 0.000
0.240 0.750 0.625
0.250 0.240 0.375
0.250 0.260 0.875
0.260 0.750 0.125
0.740 0.250 0.125
0.750 0.740 0.875
0.750 0.760 0.375
0.760 0.250 0.625



2.
CsSr3Ni (PBE, optimized geometry); total magnetization = 2.001 μB/cell; ΔE to the lowest computed polymorph = 1398 meV per atom; SG = Pm-3m; density of states at the Fermi level = 2.17 states/eV/atom
1.0
6.201 0.000 0.000
0.000 6.201 0.000
0.000 0.000 6.201
Cs Sr Ni
1 3 1
Direct
0.000 0.000 0.000
0.000 0.000 0.500
0.000 0.500 0.000
0.500 0.000 0.000
0.500 0.500 0.500



3.
CsSrNi3 (PBE, optimized geometry); total magnetization = 0.000 μB/cell; VASP energy = -12.62 eV per cell; SG = Pm-3m; density of states at the Fermi level = 1.67 states/eV/atom
1.0
5.010 0.000 0.000
0.000 5.010 0.000
0.000 0.000 5.010
Cs Sr Ni
1 1 3
Direct
0.000 0.000 0.000
0.500 0.500 0.500
0.000 0.000 0.500
0.000 0.500 0.000
0.500 0.000 0.000



4.
CsSr3Ni (PBE, optimized geometry); total magnetization = 0.000 μB/cell; ΔE to the lowest computed polymorph = 0 meV per atom; SG = Pm-3m; density of states at the Fermi level = 0.90 states/eV/atom
1.0
6.178 0.000 0.000
0.000 6.178 0.000
0.000 0.000 6.178
Cs Sr Ni
1 3 1
Direct
0.000 0.000 0.000
0.000 0.500 0.500
0.500 0.000 0.500
0.500 0.500 0.000
0.500 0.500 0.500



5.
CsSr2TlNi (PBE, optimized geometry); total magnetization = 0.388 μB/cell; VASP energy = -12.15 eV per cell; SG = P4/mmm; density of states at the Fermi level = 0.82 states/eV/atom
1.0
5.988 0.000 0.000
0.000 5.988 0.000
0.000 0.000 5.275
Cs Sr Tl Ni
1 2 1 1
Direct
0.000 0.000 0.000
0.000 0.500 0.500
0.500 0.000 0.500
0.500 0.500 0.000
0.500 0.500 0.500



6.
CsSrNi2W (PBE, optimized geometry); total magnetization = 0.000 μB/cell; VASP energy = -20.88 eV per cell; SG = P4/mmm; density of states at the Fermi level = 1.36 states/eV/atom
1.0
4.781 0.000 0.000
0.000 4.781 0.000
0.000 0.000 5.625
Cs Sr Ni W
1 1 2 1
Direct
0.000 0.000 0.000
0.500 0.500 0.000
0.000 0.500 0.500
0.500 0.000 0.500
0.000 0.000 0.500